DFT (PBE-GGA) results for a geometry-optimized Tc2As structure.

## Properties
Fermi-level density of states = 12.04 states/eV per cell
energy of formation from the pure elements = 447 meV/atom
distance to the lowest polymorph of the same formula = 169.4 kJ/mol of formula units

abc: 5.896 5.896 5.896
angles: 90.00 90.00 90.00
Sites, in units of the cell vectors:
Tc: 0.113 0.113 0.113
Tc: 0.113 0.387 0.613
Tc: 0.387 0.613 0.113
Tc: 0.387 0.887 0.613
Tc: 0.613 0.113 0.387
Tc: 0.613 0.387 0.887
Tc: 0.887 0.613 0.387
Tc: 0.887 0.887 0.887
As: 0.000 0.000 0.500
As: 0.000 0.500 0.000
As: 0.500 0.000 0.000
As: 0.500 0.500 0.500